(1)
The following is a meta-GGA SCAN calculation of a PBEsol-optimized structure of Ir2Au, from Alexandria via LeMat-Bulk.

Structure (extended XYZ):
```
6
Lattice="5.0399 -1.3757 0.0000 5.0399 1.3757 0.0000 -1.9776 0.0000 6.5226" Properties=species:S:1:pos:R:3 pbc="T T T"
Ir -0.3695 0.0000 2.1003
Ir 2.3540 0.0000 2.4418
Ir 5.7483 0.0000 4.0808
Ir 8.4717 0.0000 4.4223
Au 1.7322 0.0000 6.3335
Au 6.3700 0.0000 0.1891
```

Calculated values
- calculated formation energy (eV per atom) = 0.32
- distance to the lowest polymorph of the same formula (kcal/mol of atoms) = 0.000
- M_tot (μB/f.u.) = 0.000
- symmetry = C2/m, No. 12

***

(2)
The following is a meta-GGA SCAN calculation of a PBEsol-optimized structure of RbBaAu2, from Alexandria via LeMat-Bulk.

Structure (extended XYZ):
```
4
Lattice="0.0000 3.9411 3.9411 3.9411 0.0000 3.9411 3.9411 3.9411 0.0000" Properties=species:S:1:pos:R:3 pbc="T T T"
Rb 0.0000 0.0000 0.0000
Ba 3.9411 3.9411 3.9411
Au 1.9706 1.9706 1.9706
Au 5.9117 5.9117 5.9117
```

Calculated values
- calculated formation energy (eV per atom) = -0.60
- M_tot (μB/f.u.) = 0.000
- symmetry = Fm-3m, No. 225

***

(3)
The following is a meta-GGA SCAN calculation of a PBEsol-optimized structure of Mg3ScCr, from Alexandria via LeMat-Bulk.

Structure (extended XYZ):
```
5
Lattice="4.9543 0.0000 0.0000 0.0000 4.9543 0.0000 0.0000 0.0000 4.9543" Properties=species:S:1:pos:R:3 pbc="T T T"
Mg 0.0000 0.0000 2.4772
Mg 0.0000 2.4772 0.0000
Mg 2.4772 0.0000 0.0000
Sc 2.4772 2.4772 2.4772
Cr 0.0000 0.0000 0.0000
```

Calculated values
- calculated formation energy (eV per atom) = 0.57
- M_tot (μB/f.u.) = 3.228
- symmetry = Pm-3m, No. 221

***

(4)
The following is a meta-GGA SCAN calculation of a PBEsol-optimized structure of LiZnPb, from Alexandria via LeMat-Bulk.

Structure (extended XYZ):
```
3
Lattice="0.0000 3.1860 3.1860 3.1860 0.0000 3.1860 3.1860 3.1860 0.0000" Properties=species:S:1:pos:R:3 pbc="T T T"
Li 0.0000 0.0000 0.0000
Zn 1.5930 1.5930 1.5930
Pb 3.1860 3.1860 3.1860
```

Calculated values
- calculated formation energy (eV per atom) = -0.21
- M_tot (μB/f.u.) = 0.000
- symmetry = F-43m, No. 216

***

(5)
The following is a meta-GGA SCAN calculation of a PBEsol-optimized structure of MnAl2Au, from Alexandria via LeMat-Bulk.

Structure (extended XYZ):
```
4
Lattice="-1.8666 1.8666 4.1270 1.8666 -1.8666 4.1270 1.8666 1.8666 -4.1270" Properties=species:S:1:pos:R:3 pbc="T T T"
Mn 0.0000 0.0000 0.0000
Al 0.0000 0.0000 4.1270
Al 0.0000 1.8666 2.0635
Au 1.8666 0.0000 2.0635
```

Calculated values
- calculated formation energy (eV per atom) = -0.51
- M_tot (μB/f.u.) = 2.792
- symmetry = I-4m2, No. 119

***

(6)
The following is a meta-GGA SCAN calculation of a PBEsol-optimized structure of Li2SiHg2, from Alexandria via LeMat-Bulk.

Structure (extended XYZ):
```
10
Lattice="7.4202 0.0000 0.0000 0.0000 7.4202 0.0000 0.0000 0.0000 3.1598" Properties=species:S:1:pos:R:3 pbc="T T T"
Li 1.1650 2.5450 0.0000
Li 2.5450 6.2551 0.0000
Li 4.8751 1.1650 0.0000
Li 6.2551 4.8751 0.0000
Si 0.0000 0.0000 1.5799
Si 3.7101 3.7101 1.5799
Hg 1.0671 4.7771 1.5799
Hg 2.6430 1.0671 1.5799
Hg 4.7771 6.3531 1.5799
Hg 6.3531 2.6430 1.5799
```

Calculated values
- M_tot (μB/f.u.) = 0.000
- symmetry = P4/mbm, No. 127
- energy relative to the elements, uncorrected (eV/atom) = -0.122

***

(7)
The following is a meta-GGA SCAN calculation of a PBEsol-optimized structure of RbAsI3, from Alexandria via LeMat-Bulk.

Structure (extended XYZ):
```
5
Lattice="5.7766 0.0000 0.0000 0.0000 5.7766 0.0000 0.0000 0.0000 5.7766" Properties=species:S:1:pos:R:3 pbc="T T T"
Rb 0.0000 0.0000 0.0000
As 2.8883 2.8883 2.8883
I 0.0000 2.8883 2.8883
I 2.8883 0.0000 2.8883
I 2.8883 2.8883 0.0000
```

Calculated values
- M_tot (μB/f.u.) = 0.005
- symmetry = Pm-3m, No. 221
- energy relative to the elements, uncorrected (eV/atom) = -0.677

***

(8)
The following is a meta-GGA SCAN calculation of a PBEsol-optimized structure of ZnCo2Ni, from Alexandria via LeMat-Bulk.

Structure (extended XYZ):
```
4
Lattice="2.5373 0.0000 0.0000 0.0000 2.5373 0.0000 0.0000 0.0000 6.7949" Properties=species:S:1:pos:R:3 pbc="T T T"
Zn 0.0000 0.0000 0.0000
Co 0.0000 0.0000 3.3609
Co 1.2686 1.2686 1.8037
Ni 1.2686 1.2686 5.0265
```

Calculated values
- calculated formation energy (eV per atom) = -0.03
- M_tot (μB/f.u.) = 3.914
- symmetry = P4mm, No. 99

***

(9)
The following is a meta-GGA SCAN calculation of a PBEsol-optimized structure of ZnCd, from Alexandria via LeMat-Bulk.

Structure (extended XYZ):
```
4
Lattice="2.9326 0.0000 0.0000 0.0000 2.9326 0.0000 0.0000 0.0000 8.1791" Properties=species:S:1:pos:R:3 pbc="T T T"
Zn 0.7332 0.7332 0.8326
Zn 2.1995 2.1995 7.3465
Cd 0.7332 0.7332 5.2807
Cd 2.1995 2.1995 2.8984
```

Calculated values
- calculated formation energy (eV per atom) = 0.09
- M_tot (μB/f.u.) = 0.000
- symmetry = P4/nmm, No. 129

***

(10)
The following is a meta-GGA SCAN calculation of a PBEsol-optimized structure of YBrO, from Alexandria via LeMat-Bulk.

Structure (extended XYZ):
```
6
Lattice="3.8060 0.0000 0.0000 0.0000 3.8060 0.0000 0.0000 0.0000 8.3659" Properties=species:S:1:pos:R:3 pbc="T T T"
Y 0.9515 0.9515 1.1241
Y 2.8545 2.8545 7.2418
Br 0.9515 0.9515 5.6136
Br 2.8545 2.8545 2.7523
O 0.9515 2.8545 0.0000
O 2.8545 0.9515 0.0000
```

Calculated values
- M_tot (μB/f.u.) = 0.000
- symmetry = P4/nmm, No. 129
- energy relative to the elements, uncorrected (eV/atom) = -3.248

***

(11)
The following is a meta-GGA SCAN calculation of a PBEsol-optimized structure of Na3ZrF, from Alexandria via LeMat-Bulk.

Structure (extended XYZ):
```
5
Lattice="4.8887 0.0000 0.0000 0.0000 4.8887 0.0000 0.0000 0.0000 4.8887" Properties=species:S:1:pos:R:3 pbc="T T T"
Na 0.0000 0.0000 2.4443
Na 0.0000 2.4443 0.0000
Na 2.4443 0.0000 0.0000
Zr 2.4443 2.4443 2.4443
F 0.0000 0.0000 0.0000
```

Calculated values
- M_tot (μB/f.u.) = 4.226
- symmetry = Pm-3m, No. 221
- energy relative to the elements, uncorrected (eV/atom) = -0.335

***

(12)
The following is a meta-GGA SCAN calculation of a PBEsol-optimized structure of SrIrI2N, from Alexandria via LeMat-Bulk.

Structure (extended XYZ):
```
5
Lattice="5.7048 0.0000 0.0000 0.0000 5.7048 0.0000 0.0000 0.0000 3.7738" Properties=species:S:1:pos:R:3 pbc="T T T"
Sr 0.0000 0.0000 0.0000
Ir 2.8524 2.8524 1.8869
I 0.0000 2.8524 1.8869
I 2.8524 0.0000 1.8869
N 2.8524 2.8524 0.0000
```

Calculated values
- M_tot (μB/f.u.) = 0.000
- symmetry = P4/mmm, No. 123
- energy relative to the elements, uncorrected (eV/atom) = -0.350